No. 1
A plane-wave DFT calculation with GGA-PBE was carried out for KPOs2 after structural relaxation.

Results
Its density of states at the Fermi level is 5.4 states/eV per cell. The space group is Fm-3m, No. 225.

POSCAR file:
```
KPOs2
1.0
0.000 3.130 3.130
3.130 0.000 3.130
3.130 3.130 0.000
K P Os
1 1 2
Direct
0.000 0.000 0.000
0.500 0.500 0.500
0.250 0.250 0.250
0.750 0.750 0.750
```


No. 2
A plane-wave DFT calculation with GGA-PBE was carried out for KPOs2 after structural relaxation.

Results
Its density of states at the Fermi level is 4.7 states/eV per cell. The space group is Cmmm, No. 65.

POSCAR file:
```
KPOs2
1.0
2.770 -5.152 0.000
2.770 5.152 0.000
0.000 0.000 2.510
K P Os
1 1 2
Direct
0.000 0.000 0.000
0.500 0.500 0.000
0.000 0.500 0.500
0.500 0.000 0.500
```


no.,energy relative to the lowest polymorph listed for this composition (meV/atom)
1,1267
2,1100